The following is a DFT calculation (PBE-GGA) of a geometry-optimized ThPdSe2 structure.

Properties
* DOS(E_F): 4.4 states/eV/cell
* energy: -20.68 eV per formula unit
* total magnetic moment: 0.00 μB per cell
* E_form (uncorrected): -0.28 eV/atom
* symmetry: R-3m, No. 166
* V: 26.305 A^3/atom

a b c (Å): 3.777 3.777 8.793
angles (deg): 77.60 77.60 60.00
Atoms (fractional coordinates):
Pd: 0.500 0.500 0.500
Th: 0.000 0.000 0.000
Se: 0.113 0.113 0.662
Se: 0.887 0.887 0.338